P | HoSbMo PBE-GGA optimized geometry; SG = F-43m (216)
1.0
2.733 -2.991 -2.773
2.220 -3.881 2.028
-1.581 -4.537 -1.010
Ho Mo Sb
1 1 1
Cartesian
0.000 0.000 0.000
2.529 -8.558 -1.316
0.843 -2.853 -0.439

***

Q | HoSbMo PBE-GGA optimized geometry; SG = F-43m (216)
1.0
0.000 3.316 3.316
3.316 0.000 3.316
3.316 3.316 0.000
Mo Ho Sb
1 1 1
Cartesian
0.000 0.000 0.000
1.658 1.658 1.658
4.973 4.973 4.973

***

Which structure is the most stable? The one labeled Q.

***

P | HoScMo PBE-GGA optimized geometry; SG = F-43m (216)
1.0
0.000 3.331 3.331
3.331 0.000 3.331
3.331 3.331 0.000
Sc Mo Ho
1 1 1
Cartesian
0.000 0.000 0.000
4.996 4.996 4.996
1.665 1.665 1.665

***

Q | HoScMo PBE-GGA optimized geometry; SG = F-43m (216)
1.0
2.378 1.373 3.883
-2.378 1.373 3.883
0.000 -2.746 3.883
Sc Mo Ho
1 1 1
Cartesian
0.000 0.000 2.913
0.000 0.000 8.738
0.000 0.000 0.000

***

Which structure is the most stable? The one labeled P.

***

P | HoZnMo PBE-GGA optimized geometry; SG = F-43m (216)
1.0
-0.555 -2.009 4.199
-3.701 1.106 2.657
-3.426 -3.130 0.667
Zn Mo Ho
1 1 1
Cartesian
-5.761 -3.025 5.642
-1.920 -1.008 1.881
0.000 0.000 0.000

***

Q | HoZnMo PBE-GGA optimized geometry; SG = F-43m (216)
1.0
0.000 3.174 3.174
3.174 0.000 3.174
3.174 3.174 0.000
Zn Mo Ho
1 1 1
Cartesian
0.000 0.000 0.000
4.761 4.761 4.761
1.587 1.587 1.587

***

Which structure is the most stable? The one labeled Q.

***

P | PmHoNO PBE-GGA optimized geometry; SG = P4/nmm (129)
1.0
4.950 0.000 0.000
0.000 4.950 0.000
0.000 0.000 4.876
N O Ho Pm
2 2 2 2
Cartesian
1.237 1.237 2.440
3.712 3.712 2.436
3.712 1.237 0.000
1.237 3.712 0.000
3.712 3.712 4.872
1.237 1.237 0.004
1.237 3.712 2.438
3.712 1.237 2.438

***

Q | PmHoNO PBE-GGA optimized geometry; SG = P4/nmm (129)
1.0
3.126 -3.126 0.000
3.126 3.126 0.000
0.000 0.000 8.254
Pm O Ho N
2 2 2 2
Cartesian
1.563 0.000 0.857
4.689 0.000 7.397
3.126 1.563 0.000
3.126 -1.563 0.000
3.126 -1.563 4.127
3.126 1.563 4.127
4.689 0.000 3.556
1.563 0.000 4.698

***

Which structure is the most stable? The one labeled P.

***

P | PmHoNO PBE-GGA optimized geometry; SG = Pmc2_1 (26)
1.0
1.602 2.031 3.078
-1.792 -3.402 3.178
5.885 -3.688 -0.630
N Ho O Pm
2 2 2 2
Cartesian
0.215 -4.385 2.782
3.200 -3.993 0.969
4.899 -3.539 2.411
0.120 -2.806 4.416
0.919 -1.036 2.832
4.107 -5.297 3.984
1.197 -2.735 1.182
2.221 -5.639 2.565

***

Q | PmHoNO PBE-GGA optimized geometry; SG = Pmma (51)
1.0
4.029 0.000 0.000
0.000 4.958 0.000
0.000 0.000 6.958
N Ho O Pm
2 2 2 2
Cartesian
0.000 2.170 4.562
0.000 4.649 2.396
0.000 4.653 4.635
0.000 2.174 2.323
2.015 2.177 1.326
2.015 4.656 5.632
2.015 2.174 5.812
2.015 4.653 1.146

***

R | PmHoNO PBE-GGA optimized geometry; SG = Pbcm (57)
1.0
6.718 0.000 0.000
0.000 8.149 0.000
0.000 0.000 4.990
Ho Pm O N
4 4 4 4
Cartesian
3.929 7.149 0.253
6.148 7.149 2.748
2.789 1.000 2.748
0.570 1.000 0.253
6.256 3.056 2.747
2.897 5.093 2.747
3.822 3.056 0.252
0.462 5.093 0.252
3.950 2.913 2.746
6.128 2.913 0.251
2.769 5.236 0.251
0.590 5.236 2.746
2.836 0.959 0.254
3.882 7.190 2.749
6.196 7.190 0.254
0.523 0.959 2.749

***

Which structure is the most stable? The one labeled Q.

***

P | HoReNO PBE-GGA optimized geometry; SG = Pmc2_1 (26)
1.0
-1.616 -2.799 0.000
0.000 0.000 6.237
-4.852 2.802 0.000
N Re O Ho
2 2 2 2
Cartesian
-2.841 1.640 2.106
-2.011 1.161 5.224
-3.262 1.884 0.330
-1.590 0.918 3.449
-1.695 -0.887 2.228
-4.773 0.890 5.346
-4.829 0.922 3.157
-1.639 -0.920 0.039

***

Q | HoReNO PBE-GGA optimized geometry; SG = Pmc2_1 (26)
1.0
3.842 0.000 0.000
0.000 4.932 0.000
0.000 0.000 5.293
O Ho Re N
2 2 2 2
Cartesian
1.921 3.886 5.147
1.921 1.420 0.146
0.000 4.896 4.156
0.000 2.430 1.137
1.921 2.404 3.516
1.921 4.870 1.777
0.000 2.398 3.571
0.000 4.864 1.722

***

Which structure is the most stable? The one labeled Q.

***

P | HoReNO PBE-GGA optimized geometry; SG = Pca2_1 (29)
1.0
6.237 0.000 0.000
0.000 7.360 0.000
0.000 0.000 4.800
N Re O Ho
4 4 4 4
Cartesian
2.706 1.084 0.112
5.824 6.277 0.112
0.412 1.084 2.512
3.530 6.277 2.512
4.053 2.448 0.093
5.302 2.448 2.493
0.934 4.912 0.093
2.184 4.912 2.493
3.262 3.264 3.059
6.093 3.264 0.658
0.144 4.096 3.059
2.974 4.096 0.658
0.407 1.106 0.108
5.830 6.254 2.508
3.525 6.254 0.108
2.711 1.106 2.508

***

Q | HoReNO PBE-GGA optimized geometry; SG = P4/nmm (129)
1.0
-0.756 -2.914 2.292
-1.357 -1.960 -2.938
7.015 -2.865 -1.329
N Re O Ho
2 2 2 2
Cartesian
1.010 -4.715 -0.976
3.892 -3.024 -0.999
2.301 -3.631 -2.295
2.601 -4.108 0.320
-1.207 -2.198 -1.630
-0.906 -2.675 0.985
4.410 -6.103 -1.620
0.492 -1.635 -0.355

***

Which structure is the most stable? The one labeled Q.

***

P | HoScNO PBE-GGA optimized geometry; SG = P4/nmm (129)
1.0
-0.226 -3.837 0.795
2.804 -0.715 -2.652
5.521 0.838 5.611
N Ho Sc O
2 2 2 2
Cartesian
4.863 0.168 2.192
1.946 -1.606 2.491
2.119 -0.249 -0.598
4.691 -1.190 5.280
4.049 -1.857 1.877
2.760 0.419 2.805
0.000 0.000 0.000
1.289 -2.276 -0.929

***

Q | HoScNO PBE-GGA optimized geometry; SG = P4/mmm (123)
1.0
-1.199 -2.806 3.584
3.587 1.699 2.531
-2.730 3.288 1.661
Sc Ho N O
2 2 2 2
Cartesian
-2.133 3.010 3.189
1.790 -0.830 4.586
1.025 2.217 3.625
-1.368 -0.036 4.151
-0.769 1.368 2.360
0.426 0.813 5.416
-0.003 -1.680 3.321
2.390 0.573 2.794

***

Which structure is the most stable? The one labeled Q.

***

P | SrHoNO PBE-GGA optimized geometry; SG = P4/nmm (129)
1.0
-1.947 3.604 -0.632
-3.647 -1.853 0.669
0.593 1.728 8.024
N O Sr Ho
2 2 2 2
Cartesian
-1.426 0.233 5.719
-0.778 2.371 2.323
0.000 0.000 0.000
-2.797 0.876 0.018
-2.501 1.740 4.030
0.297 0.864 4.012
-0.444 3.345 6.848
-1.760 -0.741 1.194

***

Q | SrHoNO PBE-GGA optimized geometry; SG = Pmc2_1 (26)
1.0
1.816 3.229 1.038
4.835 -3.017 0.927
1.934 1.053 -6.660
Ho Sr N O
2 2 2 2
Cartesian
6.012 -1.211 0.381
4.914 1.016 -4.627
2.948 -1.078 -1.803
5.996 -2.243 -3.512
3.356 -0.528 -4.231
5.026 -2.443 -1.192
2.963 0.643 -0.054
6.782 -0.102 -4.419

***

R | SrHoNO PBE-GGA optimized geometry; SG = Pca2_1 (29)
1.0
7.083 0.000 0.000
0.000 8.265 0.000
0.000 0.000 5.018
N Ho Sr O
4 4 4 4
Cartesian
4.209 5.030 2.839
0.667 3.235 2.839
6.416 5.030 0.330
2.874 3.235 0.330
6.469 5.095 2.712
4.155 5.095 0.203
0.614 3.171 0.203
2.928 3.171 2.712
2.953 7.174 2.741
6.495 1.091 2.741
4.130 1.091 0.232
0.588 7.174 0.232
0.458 7.084 2.759
3.084 7.084 0.250
3.999 1.181 2.759
6.625 1.181 0.250

***

S | SrHoNO PBE-GGA optimized geometry; SG = P4/mmm (123)
1.0
-0.134 3.380 3.613
3.584 -2.425 2.401
3.517 2.765 -2.457
Sr O N Ho
2 2 2 2
Cartesian
-0.066 1.690 1.806
5.308 1.552 -1.256
0.000 0.000 0.000
1.725 0.477 3.007
3.550 0.169 -0.027
1.692 3.073 0.578
3.484 1.860 1.779
1.758 1.383 -1.228

***

Which structure is the most stable? The one labeled R.

***

P | TbHoNO PBE-GGA optimized geometry; SG = Pmc2_1 (26)
1.0
-2.203 3.182 0.731
0.795 -0.545 4.768
5.634 4.012 -0.481
Tb O N Ho
2 2 2 2
Cartesian
4.490 2.154 4.155
2.239 1.107 1.930
0.179 2.016 2.376
4.346 4.427 4.438
2.620 0.824 4.311
4.107 2.438 1.767
0.581 1.746 4.762
3.945 4.696 2.058

***

Q | TbHoNO PBE-GGA optimized geometry; SG = Pca2_1 (29)
1.0
6.608 0.000 0.000
0.000 8.050 0.000
0.000 0.000 4.914
Ho Tb O N
4 4 4 4
Cartesian
3.854 1.013 0.250
0.550 7.038 0.250
6.058 1.013 2.708
2.754 7.038 2.708
3.759 5.015 0.250
6.154 5.015 2.707
2.849 3.035 2.707
0.455 3.035 0.250
0.610 2.936 2.707
3.914 5.114 2.707
5.998 5.114 0.249
2.694 2.936 0.249
6.131 0.989 0.245
2.827 7.061 0.245
3.781 0.989 2.702
0.477 7.061 2.702

***

Which structure is the most stable? The one labeled P.